VASP calculation (PBE) on crystalline Dy2AgAu2 at its relaxed geometry.

## Properties
N(E_F): 0.984 states/eV/atom
Total DFT energy (no corrections): -4.077 eV per atom
Distance to the lowest polymorph of the same formula: 0.3405 eV/atom
Total magnetic moment: 0.000 μB per atom
Mass density: 11.197 Mg/m³
Formation enthalpy at 0 K: -1.78 eV/f.u.

a = 8.5986 Å, b = 8.5986 Å, c = 7.7584 Å
α = 103.06°, β = 103.06°, γ = 26.07°
Last column: nearest neighbours and their distance in Å.
Atoms (fractional coordinates):
Dy 0.1059 0.1061 0.0529  4 Au 3.04-3.05, 4 Ag 3.24
Dy 0.1061 0.1059 0.5529  4 Au 3.04-3.05, 4 Ag 3.24
Dy 0.8939 0.8941 0.4471  4 Au 3.04-3.05, 4 Ag 3.24
Dy 0.8941 0.8939 0.9471  4 Au 3.04-3.05, 4 Ag 3.24
Ag 0.4992 0.5008 0.7500  8 Dy 3.24
Ag 0.5008 0.4992 0.2500  8 Dy 3.24
Au 0.2500 0.2500 0.3750  4 Au 2.74, 4 Dy 3.04-3.05
Au 0.2500 0.2500 0.8750  4 Au 2.74, 4 Dy 3.04-3.05
Au 0.7500 0.7500 0.1250  4 Au 2.74, 4 Dy 3.04-3.05
Au 0.7500 0.7500 0.6250  4 Au 2.74, 4 Dy 3.04-3.05



VASP calculation (PBE) on crystalline DyAg2Au at its relaxed geometry.

## Properties
N(E_F): 0.539 states/eV/atom
Total DFT energy (no corrections): -3.692 eV per atom
Distance to the lowest polymorph of the same formula: 0.0937 eV/atom
Total magnetic moment: 0.000 μB per atom
Mass density: 11.339 Mg/m³
Formation enthalpy at 0 K: -1.19 eV/f.u.

a = 4.2184 Å, b = 4.2184 Å, c = 4.7337 Å
α = 90.00°, β = 90.00°, γ = 90.00°
Last column: nearest neighbours and their distance in Å.
Atoms (fractional coordinates):
Dy 0.0000 0.0000 0.0000  4 Au 2.98, 8 Ag 3.17
Ag 0.0000 0.5000 0.5000  4 Ag 2.98, 4 Dy 3.17, 4 Au 3.17
Ag 0.5000 0.0000 0.5000  4 Ag 2.98, 4 Dy 3.17, 4 Au 3.17
Au 0.5000 0.5000 0.0000  4 Dy 2.98, 8 Ag 3.17



VASP calculation (PBE) on crystalline DyAg2Au at its relaxed geometry.

## Properties
N(E_F): 0.610 states/eV/atom
Total DFT energy (no corrections): -3.729 eV per atom
Distance to the lowest polymorph of the same formula: 0.0565 eV/atom
Total magnetic moment: 0.000 μB per atom
Mass density: 11.716 Mg/m³
Formation enthalpy at 0 K: -1.34 eV/f.u.

a = 4.8671 Å, b = 4.8671 Å, c = 4.8671 Å
α = 60.00°, β = 60.00°, γ = 60.00°
Last column: nearest neighbours and their distance in Å.
Atoms (fractional coordinates):
Dy 0.0000 0.0000 0.0000  8 Ag 2.98
Ag 0.2500 0.2500 0.2500  4 Au 2.98, 4 Dy 2.98
Ag 0.7500 0.7500 0.7500  4 Dy 2.98, 4 Au 2.98
Au 0.5000 0.5000 0.5000  8 Ag 2.98



VASP calculation (PBE) on crystalline EuDyAgAu at its relaxed geometry.

## Properties
N(E_F): 2.170 states/eV/atom
Total DFT energy (no corrections): -5.779 eV per atom
Total magnetic moment: 1.755 μB per atom
Mass density: 10.329 Mg/m³
Formation enthalpy at 0 K: -2.11 eV/f.u.

a = 5.2023 Å, b = 5.2023 Å, c = 5.2023 Å
α = 60.00°, β = 60.00°, γ = 60.00°
Last column: nearest neighbours and their distance in Å.
Atoms (fractional coordinates):
Eu 0.0000 0.0000 0.0000  4 Ag 3.19, 4 Au 3.19
Dy 0.5000 0.5000 0.5000  4 Au 3.19, 4 Ag 3.19
Ag 0.2500 0.2500 0.2500  4 Dy 3.19, 4 Eu 3.19
Au 0.7500 0.7500 0.7500  4 Dy 3.19, 4 Eu 3.19



VASP calculation (PBE) on crystalline Dy4GaAg2Au at its relaxed geometry.

## Properties
N(E_F): 0.724 states/eV/atom
Total DFT energy (no corrections): -4.329 eV per atom
Total magnetic moment: 0.000 μB per atom
Mass density: 9.974 Mg/m³
Formation enthalpy at 0 K: -4.22 eV/f.u.

a = 8.8704 Å, b = 8.8704 Å, c = 8.8704 Å
α = 33.42°, β = 33.42°, γ = 33.42°
Last column: nearest neighbours and their distance in Å.
Atoms (fractional coordinates):
Dy 0.1240 0.1240 0.1240  4 Ag 3.08-3.09, 1 Au 3.11, 3 Ga 3.13
Dy 0.3741 0.3741 0.3741  3 Au 3.12, 1 Ga 3.16, 4 Ag 3.16-3.20
Dy 0.6259 0.6259 0.6259  3 Au 3.12, 1 Ga 3.16, 4 Ag 3.16-3.20
Dy 0.8760 0.8760 0.8760  4 Ag 3.08-3.09, 1 Au 3.11, 3 Ga 3.13
Ga 0.5000 0.5000 0.5000  8 Dy 3.13-3.16
Ag 0.2466 0.2466 0.2466  8 Dy 3.08-3.20
Ag 0.7534 0.7534 0.7534  8 Dy 3.08-3.20
Au 0.0000 0.0000 0.0000  8 Dy 3.11-3.12



VASP calculation (PBE) on crystalline DyGa2AgAu2 at its relaxed geometry.

## Properties
N(E_F): 0.392 states/eV/atom
Total DFT energy (no corrections): -3.843 eV per atom
Total magnetic moment: 0.000 μB per atom
Mass density: 11.468 Mg/m³
Formation enthalpy at 0 K: -2.99 eV/f.u.

a = 4.5298 Å, b = 4.5298 Å, c = 6.5491 Å
α = 90.00°, β = 90.00°, γ = 120.00°
Last column: nearest neighbours and their distance in Å.
Atoms (fractional coordinates):
Dy 0.0000 0.0000 0.0000  6 Au 3.13, 6 Ga 3.19, 2 Ag 3.27
Ga 0.3333 0.6667 0.2796  3 Au 2.62
Ga 0.6667 0.3333 0.7204  3 Au 2.62
Ag 0.0000 0.0000 0.5000  6 Ga 2.99, 6 Au 3.04, 2 Dy 3.27
Au 0.3333 0.6667 0.7376  3 Ga 2.62
Au 0.6667 0.3333 0.2624  3 Ga 2.62



VASP calculation (PBE) on crystalline Dy4GaAgAu2 at its relaxed geometry.

## Properties
N(E_F): 0.636 states/eV/atom
Total DFT energy (no corrections): -4.503 eV per atom
Total magnetic moment: 0.000 μB per atom
Mass density: 10.812 Mg/m³
Formation enthalpy at 0 K: -5.19 eV/f.u.

a = 8.8436 Å, b = 8.8436 Å, c = 8.8436 Å
α = 33.49°, β = 33.49°, γ = 33.49°
Last column: nearest neighbours and their distance in Å.
Atoms (fractional coordinates):
Dy 0.1241 0.1241 0.1241  1 Ga 3.11, 4 Au 3.11-3.14, 3 Ag 3.13
Dy 0.3744 0.3744 0.3744  3 Ga 3.12, 4 Au 3.12-3.13, 1 Ag 3.14
Dy 0.6256 0.6256 0.6256  3 Ga 3.12, 4 Au 3.12-3.13, 1 Ag 3.14
Dy 0.8759 0.8759 0.8759  1 Ga 3.11, 4 Au 3.11-3.14, 3 Ag 3.13
Ga 0.0000 0.0000 0.0000  8 Dy 3.11-3.12
Ag 0.5000 0.5000 0.5000  8 Dy 3.13-3.14
Au 0.2498 0.2498 0.2498  8 Dy 3.11-3.14
Au 0.7502 0.7502 0.7502  8 Dy 3.11-3.14



VASP calculation (PBE) on crystalline Dy2Ga3AgAu4 at its relaxed geometry.

## Properties
N(E_F): 0.406 states/eV/atom
Total DFT energy (no corrections): -3.941 eV per atom
Total magnetic moment: 0.000 μB per atom
Mass density: 11.582 Mg/m³
Formation enthalpy at 0 K: -5.17 eV/f.u.

a = 4.2295 Å, b = 4.2295 Å, c = 11.4605 Å
α = 90.00°, β = 90.00°, γ = 90.00°
Last column: nearest neighbours and their distance in Å.
Atoms (fractional coordinates):
Dy 0.0000 0.5000 0.2416  8 Au 3.22-3.48, 4 Ga 3.25
Dy 0.5000 0.0000 0.7584  8 Au 3.22-3.48, 4 Ga 3.25
Ga 0.0000 0.5000 0.8690  5 Au 2.47-2.59
Ga 0.5000 0.0000 0.1310  5 Au 2.47-2.59
Ga 0.5000 0.5000 0.5000  4 Au 2.75, 4 Ag 2.99
Ag 0.0000 0.0000 0.5000  4 Au 2.75, 4 Ga 2.99
Au 0.0000 0.0000 0.0000  4 Ga 2.59
Au 0.0000 0.5000 0.6536  3 Ga 2.47-2.75, 2 Ag 2.75
Au 0.5000 0.0000 0.3464  3 Ga 2.47-2.75, 2 Ag 2.75
Au 0.5000 0.5000 0.0000  4 Ga 2.59



VASP calculation (PBE) on crystalline Dy4AgHg2Au at its relaxed geometry.

## Properties
N(E_F): 0.691 states/eV/atom
Total DFT energy (no corrections): -3.679 eV per atom
Total magnetic moment: 0.000 μB per atom
Mass density: 11.409 Mg/m³
Formation enthalpy at 0 K: -4.29 eV/f.u.

a = 8.9768 Å, b = 8.9768 Å, c = 8.9768 Å
α = 33.60°, β = 33.60°, γ = 33.60°
Last column: nearest neighbours and their distance in Å.
Atoms (fractional coordinates):
Dy 0.1224 0.1224 0.1224  1 Au 3.11, 4 Hg 3.13, 3 Ag 3.20
Dy 0.3727 0.3727 0.3727  3 Au 3.16, 4 Hg 3.22-3.23, 1 Ag 3.23
Dy 0.6273 0.6273 0.6273  3 Au 3.16, 4 Hg 3.22-3.23, 1 Ag 3.23
Dy 0.8776 0.8776 0.8776  1 Au 3.11, 4 Hg 3.13, 3 Ag 3.20
Ag 0.5000 0.5000 0.5000  8 Dy 3.20-3.23
Hg 0.2459 0.2459 0.2459  8 Dy 3.13-3.23
Hg 0.7541 0.7541 0.7541  8 Dy 3.13-3.23
Au 0.0000 0.0000 0.0000  8 Dy 3.11-3.16



VASP calculation (PBE) on crystalline Dy4Ag2HgAu at its relaxed geometry.

## Properties
N(E_F): 0.805 states/eV/atom
Total DFT energy (no corrections): -3.961 eV per atom
Total magnetic moment: 0.000 μB per atom
Mass density: 10.830 Mg/m³
Formation enthalpy at 0 K: -3.99 eV/f.u.

a = 8.9368 Å, b = 8.9368 Å, c = 8.9368 Å
α = 33.50°, β = 33.50°, γ = 33.50°
Last column: nearest neighbours and their distance in Å.
Atoms (fractional coordinates):
Dy 0.1219 0.1219 0.1219  1 Au 3.08, 4 Ag 3.10-3.15, 3 Hg 3.18
Dy 0.3722 0.3722 0.3722  3 Au 3.13, 4 Ag 3.18-3.21, 1 Hg 3.23
Dy 0.6278 0.6278 0.6278  3 Au 3.13, 4 Ag 3.18-3.21, 1 Hg 3.23
Dy 0.8781 0.8781 0.8781  1 Au 3.08, 4 Ag 3.10-3.15, 3 Hg 3.18
Ag 0.2465 0.2465 0.2465  8 Dy 3.10-3.21
Ag 0.7535 0.7535 0.7535  8 Dy 3.10-3.21
Hg 0.5000 0.5000 0.5000  8 Dy 3.18-3.23
Au 0.0000 0.0000 0.0000  8 Dy 3.08-3.13



VASP calculation (PBE) on crystalline DyHoAgAu at its relaxed geometry.

## Properties
N(E_F): 0.635 states/eV/atom
Total DFT energy (no corrections): -4.423 eV per atom
Distance to the lowest polymorph of the same formula: 0.0043 eV/atom
Total magnetic moment: 0.000 μB per atom
Mass density: 11.200 Mg/m³
Formation enthalpy at 0 K: -2.38 eV/f.u.

a = 5.0990 Å, b = 5.0990 Å, c = 5.0990 Å
α = 60.00°, β = 60.00°, γ = 60.00°
Last column: nearest neighbours and their distance in Å.
Atoms (fractional coordinates):
Dy 0.0000 0.0000 0.0000  4 Ag 3.12, 4 Au 3.12
Ho 0.5000 0.5000 0.5000  4 Au 3.12, 4 Ag 3.12
Ag 0.2500 0.2500 0.2500  4 Dy 3.12, 4 Ho 3.12
Au 0.7500 0.7500 0.7500  4 Ho 3.12, 4 Dy 3.12



VASP calculation (PBE) on crystalline DyHoAgAu at its relaxed geometry.

## Properties
N(E_F): 0.639 states/eV/atom
Total DFT energy (no corrections): -4.427 eV per atom
Distance to the lowest polymorph of the same formula: 0.0000 eV/atom
Total magnetic moment: 0.000 μB per atom
Mass density: 11.185 Mg/m³
Formation enthalpy at 0 K: -2.40 eV/f.u.

a = 3.5955 Å, b = 3.5955 Å, c = 7.2612 Å
α = 90.00°, β = 90.00°, γ = 90.00°
Last column: nearest neighbours and their distance in Å.
Atoms (fractional coordinates):
Dy 0.0000 0.0000 0.0000  4 Au 3.11, 4 Ag 3.16
Ho 0.0000 0.0000 0.5104  4 Au 3.09, 4 Ag 3.13
Ag 0.5000 0.5000 0.2578  4 Ho 3.13, 4 Dy 3.16
Au 0.5000 0.5000 0.7523  4 Ho 3.09, 4 Dy 3.11